1.
Here is ScCrAs2I at its PBEsol-relaxed geometry from Alexandria via LeMat-Bulk. Energies are from SCAN.

Structure (CIF):
```
data_ScCrAs2I
_space_group_name_H-M_alt 'P 4/m m m'
_space_group_IT_number 123
_space_group_name_Hall '-P 4 2'
_cell_length_a 5.015
_cell_length_b 5.015
_cell_length_c 5.616
_cell_angle_alpha 90.00
_cell_angle_beta 90.00
_cell_angle_gamma 90.00
loop_
_atom_site_label
_atom_site_type_symbol
_atom_site_fract_x
_atom_site_fract_y
_atom_site_fract_z
Sc1 Sc 0.000 0.000 0.000
Cr1 Cr 0.500 0.500 0.500
As1 As 0.000 0.500 0.000
I1 I 0.000 0.000 0.500
```

Computed properties:
**Raw formation energy**: 0.210 eV/atom
**Density of states at the Fermi level**: 2.42 states/eV per cell
**V**: 28.3 Å³ per atom

2.
Here is CsCrCl3 at its PBEsol-relaxed geometry from Alexandria via LeMat-Bulk. Energies are from SCAN.

Structure (CIF):
```
data_CsCrCl3
_space_group_name_H-M_alt 'P m -3 m'
_space_group_IT_number 221
_space_group_name_Hall '-P 4 2 3'
_cell_length_a 4.957
_cell_length_b 4.957
_cell_length_c 4.957
_cell_angle_alpha 90.00
_cell_angle_beta 90.00
_cell_angle_gamma 90.00
loop_
_atom_site_label
_atom_site_type_symbol
_atom_site_fract_x
_atom_site_fract_y
_atom_site_fract_z
Cs1 Cs 0.000 0.000 0.000
Cr1 Cr 0.500 0.500 0.500
Cl1 Cl 0.000 0.500 0.500
```

Computed properties:
**Raw formation energy**: -1.761 eV/atom
**Density of states at the Fermi level**: 0.85 states/eV per cell
**V**: 24.4 Å³ per atom